(1)
Below is an optimized crystal structure of ThAs2Rh, with properties calculated at the PBE level.

The space group is P2_1/m (No. 11) and the conventional cell measures 4.312, 4.725 and 8.361 Å, with angles of 90.00, 104.78 and 90.00 degrees. The inequivalent atoms are Th at (0.110, 0.250, 0.217), As at (0.255, 0.750, 0.508), As at (0.472, 0.250, 0.938) and Rh at (0.316, 0.250, 0.638).

As for the volume: 164.7 Å³ per cell. For the calculated formation energy, the calculation gives -0.90 eV/atom. Its spin magnetization is 0.0 μB per cell. Its crystal system is monoclinic.

***

(2)
Below is an optimized crystal structure of KLa2Mg2, with properties calculated at the PBE level.

The space group is P4/mbm (No. 127) and the conventional cell measures 10.184, 10.184 and 3.432 Å, with angles of 90.00, 90.00 and 90.00 degrees. The inequivalent atoms are K at (0.000, 0.000, 0.000), La at (0.172, 0.328, 0.500) and Mg at (0.117, 0.617, 0.000).

As for the volume: 355.9 Å³ per cell. For the calculated formation energy, the calculation gives 0.14 eV/atom. The excess energy over the best structure of this formula in the dataset is 13.0 meV per atom. Its spin magnetization is 0.0 μB per cell. Its crystal system is tetragonal.

***

(3)
Below is an optimized crystal structure of K4Nd3PaS8, with properties calculated at the PBE level.

The space group is R-3m (No. 166, hexagonal axes) and the conventional cell measures 8.3171, 8.3171 and 22.2284 Å, with angles of 90.00, 90.00 and 120.00 degrees. The inequivalent atoms are K at (0.0000, 0.0000, 0.0000), K at (0.0000, 0.5000, 0.0000), Nd at (0.0000, 0.5000, 0.5000), Pa at (0.0000, 0.0000, 0.5000), S at (0.0000, 0.0000, 0.2370) and S at (0.0104, 0.5052, 0.2356).

As for the volume: 1331.6 Å³ per cell. Its spin magnetization is 5.4 μB per cell. Its crystal system is trigonal. The calculation puts the formation energy without anion corrections at -1744 meV per atom.

***

(4)
Below is an optimized crystal structure of KTlTe2Pb, with properties calculated at the PBE level.

The space group is C2/m (No. 12) and the conventional cell measures 19.355, 4.976 and 9.987 Å, with angles of 90.00, 99.21 and 90.00 degrees. The inequivalent atoms are K at (0.184, 0.000, 0.152), Tl at (0.193, 0.000, 0.501), Te at (0.092, 0.500, 0.369), Te at (0.169, 0.000, 0.802) and Pb at (0.076, 0.500, 0.674).

As for the volume: 949.4 Å³ per cell. Its spin magnetization is 0.0 μB per cell. Its crystal system is monoclinic. The calculation puts the formation energy without anion corrections at -494 meV per atom.

***

(5)
Below is an optimized crystal structure of SrLa2Se2, with properties calculated at the PBE level.

The space group is P4/mbm (No. 127) and the conventional cell measures 8.404, 8.404 and 4.094 Å, with angles of 90.00, 90.00 and 90.00 degrees. The inequivalent atoms are Sr at (0.000, 0.000, 0.000), La at (0.156, 0.344, 0.500) and Se at (0.146, 0.646, 0.000).

As for the volume: 289.1 Å³ per cell. The excess energy over the best structure of this formula in the dataset is 0.0 meV per atom. Its spin magnetization is 0.0 μB per cell. Its crystal system is tetragonal. The calculation puts the formation energy without anion corrections at -1368 meV per atom.

***

(6)
Below is an optimized crystal structure of LiZrZnSn2, with properties calculated at the PBE level.

The space group is P4/mmm (No. 123) and the conventional cell measures 5.096, 5.096 and 5.093 Å, with angles of 90.00, 90.00 and 90.00 degrees. The inequivalent atoms are Li at (0.000, 0.000, 0.000), Zr at (0.500, 0.500, 0.000), Zn at (0.500, 0.500, 0.500) and Sn at (0.000, 0.500, 0.500).

As for the volume: 132.3 Å³ per cell. For the calculated formation energy, the calculation gives 0.43 eV/atom. Its spin magnetization is 0.0 μB per cell. Its crystal system is tetragonal.

***

(7)
Below is an optimized crystal structure of CdHgTe, with properties calculated at the PBE level.

The space group is Imm2 (No. 44) and the conventional cell measures 3.147, 6.602 and 8.728 Å, with angles of 90.00, 90.00 and 90.00 degrees. The inequivalent atoms are Cd at (0.000, 0.000, 0.000), Hg at (0.000, 0.000, 0.680) and Te at (0.000, 0.000, 0.335).

As for the volume: 181.3 Å³ per cell. The excess energy over the best structure of this formula in the dataset is 172.4 meV per atom. Its spin magnetization is 0.0 μB per cell. Its crystal system is orthorhombic. The calculation puts the formation energy without anion corrections at 37 meV per atom.

***

(8)
Below is an optimized crystal structure of BeIn2Si, with properties calculated at the PBE level.

The space group is Pmm2 (No. 25) and the conventional cell measures 2.903, 3.547 and 7.865 Å, with angles of 90.00, 90.00 and 90.00 degrees. The inequivalent atoms are Be at (0.000, 0.000, 0.000), In at (0.000, 0.000, 0.632), In at (0.500, 0.500, 0.283) and Si at (0.500, 0.500, 0.914).

As for the volume: 81.0 Å³ per cell. The excess energy over the best structure of this formula in the dataset is 160.5 meV per atom. Its spin magnetization is 0.0 μB per cell. Its crystal system is orthorhombic. The calculation puts the formation energy without anion corrections at 374 meV per atom.

***

(9)
Below is an optimized crystal structure of Nd2CuBi, with properties calculated at the PBE level.

The space group is Fm-3m (No. 225) and the conventional cell measures 7.595, 7.595 and 7.595 Å, with angles of 90.00, 90.00 and 90.00 degrees. The inequivalent atoms are Nd at (0.250, 0.250, 0.250), Cu at (0.000, 0.000, 0.000) and Bi at (0.000, 0.000, 0.500).

As for the volume: 438.1 Å³ per cell. For the calculated formation energy, the calculation gives -0.38 eV/atom. The excess energy over the best structure of this formula in the dataset is 15.0 meV per atom. Its spin magnetization is 0.0 μB per cell. Its crystal system is cubic.

***

(10)
Below is an optimized crystal structure of HoNp5As6, with properties calculated at the PBE level.

The space group is C2/m (No. 12) and the conventional cell measures 7.107, 12.316 and 7.113 Å, with angles of 90.00, 109.47 and 90.00 degrees. The inequivalent atoms are Ho at (0.000, 0.000, 0.000), Np at (0.000, 0.166, 0.500), Np at (0.000, 0.333, 0.000), Np at (0.000, 0.500, 0.500), As at (0.249, 0.500, 0.250) and As at (0.250, 0.167, 0.250).

As for the volume: 587.1 Å³ per cell. For the calculated formation energy, the calculation gives -0.82 eV/atom. Its spin magnetization is 38.6 μB per cell. Its crystal system is monoclinic.

***

(11)
Below is an optimized crystal structure of YSNF2, with properties calculated at the PBE level.

The space group is P4/mmm (No. 123) and the conventional cell measures 4.735, 4.735 and 3.335 Å, with angles of 90.00, 90.00 and 90.00 degrees. The inequivalent atoms are Y at (0.000, 0.000, 0.000), S at (0.500, 0.500, 0.500), N at (0.500, 0.500, 0.000) and F at (0.000, 0.500, 0.500).

As for the volume: 74.8 Å³ per cell. The excess energy over the best structure of this formula in the dataset is 465.4 meV per atom. Its spin magnetization is 0.0 μB per cell. Its crystal system is tetragonal. The calculation puts the formation energy without anion corrections at -768 meV per atom.

***

(12)
Below is an optimized crystal structure of CaHg3Cl, with properties calculated at the PBE level.

The space group is Pm-3m (No. 221) and the conventional cell measures 5.742, 5.742 and 5.742 Å, with angles of 90.00, 90.00 and 90.00 degrees. The inequivalent atoms are Ca at (0.000, 0.000, 0.000), Hg at (0.000, 0.500, 0.500) and Cl at (0.500, 0.500, 0.500).

As for the volume: 189.3 Å³ per cell. The excess energy over the best structure of this formula in the dataset is 171.2 meV per atom. Its spin magnetization is 0.0 μB per cell. Its crystal system is cubic. The calculation puts the formation energy without anion corrections at 36 meV per atom.

***

(13)
Below is an optimized crystal structure of HoThGePt, with properties calculated at the PBE level.

The space group is P4/nmm (No. 129, origin choice 2) and the conventional cell measures 4.439, 4.439 and 10.715 Å, with angles of 90.00, 90.00 and 90.00 degrees. The inequivalent atoms are Ho at (0.250, 0.750, 0.000), Th at (0.250, 0.250, 0.342), Ge at (0.250, 0.250, 0.610) and Pt at (0.250, 0.250, 0.838).

As for the volume: 211.2 Å³ per cell. For the calculated formation energy, the calculation gives -0.68 eV/atom. Its spin magnetization is 0.0 μB per cell. Its crystal system is tetragonal.